## LuGaAu (PBE)

Data for an optimized crystal structure of LuGaAu.

a = 4.5934 Å, b = 4.5934 Å, c = 4.5934 Å
α = 60.00°, β = 60.00°, γ = 60.00°
Closest atoms and distances in Å follow each position.
Element x y z (fractional)
Lu (0.0000, 0.0000, 0.0000)  4 Au 2.81
Au (0.2500, 0.2500, 0.2500)  4 Ga 2.81, 4 Lu 2.81
Ga (0.5000, 0.5000, 0.5000)  4 Au 2.81

formation enthalpy at 0 K: -0.64 eV/atom
magnetic moment: 0.00 μB/f.u.
theoretical density: 10.70 g cm⁻³
space group: F-43m
energy: -12.7 eV per cell
DOS at the Fermi energy: 1.467 states/eV per atom


## GdHoPa (PBE)

Data for an optimized crystal structure of GdHoPa.

a = 3.3996 Å, b = 3.3996 Å, c = 7.9281 Å
α = 102.38°, β = 102.38°, γ = 90.00°
Closest atoms and distances in Å follow each position.
Element x y z (fractional)
Gd (0.3227, 0.3227, 0.6454)  4 Pa 3.37, 4 Gd 3.40, 4 Ho 3.72
Pa (0.6664, 0.6664, 0.3328)  4 Ho 3.36, 4 Gd 3.37, 4 Pa 3.40
Ho (0.0109, 0.0109, 0.0219)  4 Pa 3.36, 4 Ho 3.40, 4 Gd 3.72

formation enthalpy at 0 K: 0.15 eV/atom
magnetic moment: 6.90 μB/f.u.
theoretical density: 10.52 g cm⁻³
space group: I4mm
energy: -27.7 eV per cell
offset from the most stable computed form: 24 meV/atom
DOS at the Fermi energy: 1.676 states/eV per atom


## Ba2Tl3Pt (PBE)

Data for an optimized crystal structure of Ba2Tl3Pt.

a = 6.7701 Å, b = 6.7701 Å, c = 10.3316 Å
α = 112.56°, β = 112.56°, γ = 80.14°
Closest atoms and distances in Å follow each position.
Element x y z (fractional)
Ba (0.7500, 0.2500, 0.5000)  8 Tl 3.62-3.63, 4 Pt 3.70
Ba (0.7535, 0.2465, 0.0000)  10 Tl 3.63-3.85, 2 Pt 3.72
Ba (0.2500, 0.7500, 0.5000)  8 Tl 3.62-3.63, 4 Pt 3.70
Ba (0.2465, 0.7535, 0.0000)  10 Tl 3.63-3.85, 2 Pt 3.72
Tl (0.8208, 0.8208, 0.1767)  1 Pt 2.79
Tl (0.6441, 0.6441, 0.8233)  1 Pt 2.79
Tl (0.1792, 0.1792, 0.8233)  1 Pt 2.79
Tl (0.3559, 0.3559, 0.1767)  1 Pt 2.79
Tl (0.1773, 0.1773, 0.3546)  1 Pt 2.78
Tl (0.8227, 0.8227, 0.6454)  1 Pt 2.78
Pt (0.6671, 0.6671, 0.3342)  3 Tl 2.78-2.79
Pt (0.3329, 0.3329, 0.6658)  3 Tl 2.78-2.79

formation enthalpy at 0 K: -0.41 eV/atom
magnetic moment: 0.00 μB/f.u.
theoretical density: 8.91 g cm⁻³
space group: Fmmm
energy: -38.9 eV per cell
offset from the most stable computed form: 34 meV/atom
DOS at the Fermi energy: 0.667 states/eV per atom


## Ac2DySi (PBE)

Data for an optimized crystal structure of Ac2DySi.

a = 4.8207 Å, b = 5.0912 Å, c = 5.0912 Å
α = 90.00°, β = 90.00°, γ = 90.00°
Closest atoms and distances in Å follow each position.
Element x y z (fractional)
Ac (0.0000, 0.0000, 0.5000)  4 Dy 3.51, 4 Si 3.51, 4 Ac 3.60
Ac (0.0000, 0.5000, 0.0000)  4 Dy 3.51, 4 Si 3.51, 4 Ac 3.60
Si (0.5000, 0.0000, 0.0000)  8 Ac 3.51, 4 Dy 3.60
Dy (0.5000, 0.5000, 0.5000)  8 Ac 3.51, 4 Si 3.60

magnetic moment: 0.00 μB/f.u.
theoretical density: 8.57 g cm⁻³
space group: P4/mmm
energy: -18.6 eV per cell
offset from the most stable computed form: 0 meV/atom
DOS at the Fermi energy: 1.081 states/eV per atom
formation energy from raw total energies: -0.08 eV/atom